Model i:
Na2TlBi | PBE | optimized geometry

Structure (CIF):
```
data_Na2TlBi
_chemical_formula_sum 'Na6 Tl3 Bi3'
_cell_length_a 3.5902
_cell_length_b 3.5902
_cell_length_c 31.7980
_cell_angle_alpha 90.00
_cell_angle_beta 90.00
_cell_angle_gamma 120.00
_symmetry_space_group_name_H-M 'R 3 m'
_symmetry_Int_Tables_number 160
_symmetry_space_group_name_Hall 'R 3 -2"'
loop_
_atom_site_label
_atom_site_type_symbol
_atom_site_fract_x
_atom_site_fract_y
_atom_site_fract_z
_atom_site_occupancy
Na1 Na 0.0000 0.0000 0.0000 1
Na2 Na 0.0000 0.0000 0.1695 1
Tl1 Tl 0.0000 0.0000 0.7511 1
Bi1 Bi 0.0000 0.0000 0.5849 1
```

Output
D(E_F) (states/eV/cell): 5.88
Calculated density (kg/m³): 6447



Model ii:
Na2TlBi | PBE | optimized geometry

Structure (CIF):
```
data_Na2TlBi
_chemical_formula_sum 'Na8 Tl4 Bi4'
_cell_length_a 4.8543
_cell_length_b 4.8543
_cell_length_c 21.8223
_cell_angle_alpha 90.00
_cell_angle_beta 90.00
_cell_angle_gamma 90.00
_symmetry_space_group_name_H-M 'I -4 2 d'
_symmetry_Int_Tables_number 122
_symmetry_space_group_name_Hall 'I -4 2bw'
loop_
_atom_site_label
_atom_site_type_symbol
_atom_site_fract_x
_atom_site_fract_y
_atom_site_fract_z
_atom_site_occupancy
Na1 Na 0.2432 0.2500 0.1250 1
Tl1 Tl 0.0000 0.0000 0.5000 1
Bi1 Bi 0.0000 0.0000 0.0000 1
```

Output
D(E_F) (states/eV/cell): 9.34
Calculated density (kg/m³): 5933



Model iii:
Na2TlBi | PBE | optimized geometry

Structure (CIF):
```
data_Na2TlBi
_chemical_formula_sum 'Na2 Tl1 Bi1'
_cell_length_a 3.6658
_cell_length_b 3.6658
_cell_length_c 8.6002
_cell_angle_alpha 90.00
_cell_angle_beta 90.00
_cell_angle_gamma 90.00
_symmetry_space_group_name_H-M 'P 4/m m m'
_symmetry_Int_Tables_number 123
_symmetry_space_group_name_Hall '-P 4 2'
loop_
_atom_site_label
_atom_site_type_symbol
_atom_site_fract_x
_atom_site_fract_y
_atom_site_fract_z
_atom_site_occupancy
Na1 Na 0.0000 0.0000 0.2416 1
Tl1 Tl 0.5000 0.5000 0.5000 1
Bi1 Bi 0.5000 0.5000 0.0000 1
```

Output
D(E_F) (states/eV/cell): 1.03
Calculated density (kg/m³): 6600



model iii takes first place; second place is 5.4 kJ/mol of atoms up.



Model i:
NaTl2Bi | PBE | optimized geometry

Structure (CIF):
```
data_NaTl2Bi
_chemical_formula_sum 'Na1 Tl2 Bi1'
_cell_length_a 4.1651
_cell_length_b 4.1651
_cell_length_c 7.1005
_cell_angle_alpha 90.00
_cell_angle_beta 90.00
_cell_angle_gamma 90.00
_symmetry_space_group_name_H-M 'P 4/m m m'
_symmetry_Int_Tables_number 123
_symmetry_space_group_name_Hall '-P 4 2'
loop_
_atom_site_label
_atom_site_type_symbol
_atom_site_fract_x
_atom_site_fract_y
_atom_site_fract_z
_atom_site_occupancy
Na1 Na 0.0000 0.0000 0.0000 1
Tl1 Tl 0.5000 0.5000 0.2603 1
Bi1 Bi 0.0000 0.0000 0.5000 1
```

Output
D(E_F) (states/eV/cell): 1.99
Calculated density (kg/m³): 8638



Model ii:
NaTl2Bi | PBE | optimized geometry

Structure (CIF):
```
data_NaTl2Bi
_chemical_formula_sum 'Na4 Tl8 Bi4'
_cell_length_a 9.2475
_cell_length_b 9.2475
_cell_length_c 6.3907
_cell_angle_alpha 90.00
_cell_angle_beta 90.00
_cell_angle_gamma 90.00
_symmetry_space_group_name_H-M 'I -4 2 d'
_symmetry_Int_Tables_number 122
_symmetry_space_group_name_Hall 'I -4 2bw'
loop_
_atom_site_label
_atom_site_type_symbol
_atom_site_fract_x
_atom_site_fract_y
_atom_site_fract_z
_atom_site_occupancy
Na1 Na 0.0000 0.0000 0.0000 1
Tl1 Tl 0.2196 0.7500 0.6250 1
Bi1 Bi 0.0000 0.0000 0.5000 1
```

Output
D(E_F) (states/eV/cell): 9.65
Calculated density (kg/m³): 7787



model i takes first place; second place is 7.1 kJ/mol of atoms up.